A plane-wave DFT calculation with GGA+U was carried out for a relaxed Ac2MnHgO6 crystal.

a = 4.877 Å, b = 5.697 Å, c = 5.697 Å
α = 90.00°, β = 90.00°, γ = 90.00°
Last column: magnetic moment on the atom in μB.
Fractional positions:
Ac1 0.024 0.000 0.500  0.01
Ac2 0.024 0.500 0.000  0.01
O1 0.722 0.773 0.227  -0.04
O2 0.242 0.000 0.000  -0.07
O3 0.722 0.773 0.773  -0.04
O4 0.722 0.227 0.227  -0.04
O5 0.722 0.227 0.773  -0.04
O6 0.104 0.500 0.500  0.00
Mn1 0.619 0.000 0.000  3.11
Hg1 0.545 0.500 0.500  0.02

Summary:
Raw total energy: -66.23 eV/cell
Size of the total moment: 0.300 μB/atom